No. 1
The following is a PBE calculation of an optimized crystal structure of SiTc2Ir, from the Alexandria database.

Lattice parameters (Å, degrees): 2.8031 3.7538 5.4020 90.00 90.00 90.00
With the nearest neighbours (Å) after each atom.
Positions (direct):
Ir: 0.0000 0.0000 0.5321  4 Si 2.58, 6 Tc 2.61-2.89, 2 Ir 2.80
Si: 0.5000 0.5000 0.7343  4 Ir 2.58, 6 Tc 2.62-2.79, 2 Si 2.80
Tc: 0.0000 0.0000 0.0144  6 Tc 2.59-2.80, 2 Ir 2.61-2.80, 4 Si 2.79
Tc: 0.5000 0.5000 0.2191  6 Tc 2.59-2.80, 2 Si 2.62-2.78, 4 Ir 2.89

Values from the calculation:
Space group   No. 25
Density of states at the Fermi level   0.845 states/eV/atom
Energy relative to the elements, uncorrected   -0.62 eV/f.u.



No. 2
The following is a PBE calculation of an optimized crystal structure of MnOsBr2, from the Alexandria database.

Lattice parameters (Å, degrees): 3.1203 6.0260 4.2916 90.00 90.00 90.00
With the nearest neighbours (Å) after each atom.
Positions (direct):
Br: 0.0000 0.0000 0.0000  4 Mn 2.65
Br: 0.5000 0.5000 0.0000  4 Os 2.65
Mn: 0.5000 0.0000 0.5000  4 Br 2.65
Os: 0.0000 0.5000 0.5000  4 Br 2.65

Values from the calculation:
Space group   No. 47
Density of states at the Fermi level   0.974 states/eV/atom
Energy above the most stable polymorph in this dataset   713 meV per atom
Energy relative to the elements, uncorrected   3.91 eV/f.u.



No. 3
The following is a PBE calculation of an optimized crystal structure of CsKRb2Pd, from the Alexandria database.

Lattice parameters (Å, degrees): 6.8916 6.8916 6.6553 90.00 90.00 90.00
With the nearest neighbours (Å) after each atom.
Positions (direct):
Cs: 0.5000 0.5000 0.5000  8 Rb 4.79, 4 K 4.87
K: 0.0000 0.0000 0.5000  2 Pd 3.33
Rb: 0.0000 0.5000 0.0000  2 Pd 3.45
Rb: 0.5000 0.0000 0.0000  2 Pd 3.45
Pd: 0.0000 0.0000 0.0000  2 K 3.33, 4 Rb 3.45

Values from the calculation:
Space group   No. 123
Density of states at the Fermi level   0.533 states/eV/atom
Formation energy   0.09 eV/atom
Energy above the most stable polymorph in this dataset   5 meV per atom



No. 4
The following is a PBE calculation of an optimized crystal structure of LiLa2SnS5, from the Alexandria database.

Lattice parameters (Å, degrees): 4.0999 8.9108 11.5611 90.00 90.00 103.30
With the nearest neighbours (Å) after each atom.
Positions (direct):
Li: 0.7725 0.5450 0.5086  1 S 2.35
Li: 0.2275 0.4550 0.0086  1 S 2.35
La: 0.8776 0.7553 0.8024  8 S 2.98-3.09
La: 0.1293 0.2586 0.6815  8 S 2.97-3.13
La: 0.1224 0.2447 0.3024  8 S 2.98-3.09
La: 0.8707 0.7414 0.1815  8 S 2.97-3.13
Sn: 0.5825 0.1649 0.9801  5 S 2.55-2.79
Sn: 0.4175 0.8351 0.4801  5 S 2.55-2.79
S: 0.3625 0.7250 0.9961  1 Li 2.35
S: 0.7023 0.4046 0.8370  1 Sn 2.66, 2 Li 2.89
S: 0.5106 0.0212 0.7832  1 Sn 2.60
S: 0.3044 0.6087 0.6512  2 Li 2.69, 1 Sn 2.79, 2 La 2.98
S: 0.9711 0.9422 0.5838  2 Sn 2.55
S: 0.6375 0.2750 0.4961  1 Li 2.35
S: 0.2977 0.5954 0.3370  1 Sn 2.66, 2 Li 2.89
S: 0.4894 0.9788 0.2832  1 Sn 2.60
S: 0.6956 0.3913 0.1512  2 Li 2.69, 1 Sn 2.79, 2 La 2.98
S: 0.0289 0.0578 0.0838  2 Sn 2.55

Values from the calculation:
Space group   No. 36
Density of states at the Fermi level   0.317 states/eV/atom
Energy relative to the elements, uncorrected   -13.42 eV/f.u.



No. 5
The following is a PBE calculation of an optimized crystal structure of Ca2YAg, from the Alexandria database.

Lattice parameters (Å, degrees): 9.0201 9.0201 7.1570 50.94 50.94 90.00
With the nearest neighbours (Å) after each atom.
Positions (direct):
Y: 0.5000 0.5000 0.0000  2 Ag 3.25
Y: 0.2500 0.7500 0.5000  2 Ag 3.25
Ca: 0.6894 0.1250 0.2500  2 Ag 2.92
Ca: 0.0606 0.6250 0.2500  2 Ag 2.92
Ca: 0.3750 0.3106 0.7500  2 Ag 2.92
Ca: 0.8750 0.9394 0.7500  2 Ag 2.92
Ag: 0.0000 0.0000 0.0000  4 Ca 2.92, 2 Y 3.25
Ag: 0.7500 0.2500 0.5000  4 Ca 2.92, 2 Y 3.25

Values from the calculation:
Space group   No. 122
Density of states at the Fermi level   1.331 states/eV/atom
Formation energy   0.12 eV/atom
Energy above the most stable polymorph in this dataset   241 meV per atom



No. 6
The following is a PBE calculation of an optimized crystal structure of Ho2H7Ru2, from the Alexandria database.

Lattice parameters (Å, degrees): 4.4608 4.7553 4.7553 83.91 90.06 90.06
With the nearest neighbours (Å) after each atom.
Positions (direct):
Ho: 0.5000 0.2385 0.7615  6 H 2.14-2.19
Ho: 0.5000 0.7615 0.2385  6 H 2.14-2.19
H: 0.2094 0.0001 0.4993  2 Ru 1.84-1.85, 1 H 1.87
H: 0.7906 0.5007 0.9999  2 Ru 1.84-1.85, 1 H 1.87
H: 0.7906 0.9999 0.5007  2 Ru 1.84-1.85, 1 H 1.87
H: 0.2094 0.4993 0.0001  2 Ru 1.84-1.85, 1 H 1.87
H: 0.0000 0.0000 0.0000  2 Ru 1.85
H: 0.8023 0.4994 0.4994  1 H 1.76, 2 Ru 1.90-1.92
H: 0.1977 0.5006 0.5006  1 H 1.76, 2 Ru 1.90-1.92
Ru: 0.9967 0.2609 0.2609  7 H 1.84-1.92
Ru: 0.0033 0.7391 0.7391  7 H 1.84-1.92

Values from the calculation:
Space group   No. 12
Final energy   -54.59 eV per cell
Density of states at the Fermi level   0.378 states/eV/atom



No. 7
The following is a PBE calculation of an optimized crystal structure of NbSiP, from the Alexandria database.

Lattice parameters (Å, degrees): 3.2714 3.2714 8.1459 90.00 90.00 90.00
With the nearest neighbours (Å) after each atom.
Positions (direct):
P: 0.0000 0.0000 0.1903  5 Nb 2.65-2.78, 5 Si 2.69
P: 0.5000 0.5000 0.6903  5 Nb 2.65-2.78, 5 Si 2.69
Nb: 0.0000 0.0000 0.5319  5 P 2.65-2.78, 5 Si 2.67-2.70
Nb: 0.5000 0.5000 0.0319  5 P 2.65-2.78, 5 Si 2.67-2.70
Si: 0.0000 0.0000 0.8599  5 Nb 2.67-2.70, 5 P 2.69
Si: 0.5000 0.5000 0.3599  5 Nb 2.67-2.70, 5 P 2.69

Values from the calculation:
Space group   No. 107
Density of states at the Fermi level   0.405 states/eV/atom
Energy relative to the elements, uncorrected   -1.64 eV/f.u.



No. 8
The following is a PBE calculation of an optimized crystal structure of CuTeSe2, from the Alexandria database.

Lattice parameters (Å, degrees): 4.8776 4.8776 4.8776 60.00 60.00 60.00
With the nearest neighbours (Å) after each atom.
Positions (direct):
Cu: 0.5000 0.5000 0.5000  4 Se 2.99, 4 Te 2.99
Se: 0.0000 0.0000 0.0000  4 Se 2.99, 4 Te 2.99
Se: 0.2500 0.2500 0.2500  4 Se 2.99, 4 Cu 2.99
Te: 0.7500 0.7500 0.7500  4 Cu 2.99, 4 Se 2.99

Values from the calculation:
Space group   No. 216
Density of states at the Fermi level   0.849 states/eV/atom
Energy relative to the elements, uncorrected   2.15 eV/f.u.



- Among the records above, which one has the lowest density of states at the Fermi level?
  LiLa2SnS5